(1)
VASP calculation (PBE) on crystalline Ho3ScIn12 at its relaxed geometry.

```
Ho3ScIn12
1.0
-3.234 2.315 2.315
-3.054 -0.959 -3.306
-4.747 -15.510 8.882
In Ho Sc
12 3 1
direct
0.500 0.500 0.248 In
0.500 0.000 0.121 In
0.500 0.000 0.879 In
0.500 0.000 0.374 In
0.500 0.000 0.626 In
0.000 0.500 0.121 In
0.000 0.500 0.374 In
0.500 0.500 0.752 In
0.000 0.500 0.626 In
0.500 0.500 0.000 In
0.500 0.500 0.500 In
0.000 0.500 0.879 In
0.000 0.000 0.247 Ho
0.000 0.000 0.753 Ho
0.000 0.000 0.500 Ho
0.000 0.000 0.000 Sc
```

Calculated formation energy in eV per atom: -0.37

(2)
VASP calculation (PBE) on crystalline Pm2PSe at its relaxed geometry.

```
Pm2PSe
1.0
5.090 0.000 0.000
2.545 4.408 0.000
2.545 1.469 4.156
Pm P Se
2 1 1
direct
0.250 0.250 0.250 Pm
0.750 0.750 0.750 Pm
0.000 0.000 0.000 P
0.500 0.500 0.500 Se
```

E_form (uncorrected) in eV/atom: -1.361
Distance to the lowest polymorph of the same formula in meV per atom: 430

(3)
VASP calculation (PBE) on crystalline SmYTlSn at its relaxed geometry.

```
SmYTlSn
1.0
-2.512 0.868 -4.709
-1.404 -4.182 -3.127
-5.212 -1.322 -0.567
Tl Y Sm Sn
1 1 1 1
direct
0.000 0.000 0.000 Tl
0.750 0.750 0.750 Y
0.250 0.250 0.250 Sm
0.500 0.500 0.500 Sn
```

Calculated formation energy in eV per atom: -0.49

Copy entry 1 word for word.
VASP calculation (PBE) on crystalline Ho3ScIn12 at its relaxed geometry.

```
Ho3ScIn12
1.0
-3.234 2.315 2.315
-3.054 -0.959 -3.306
-4.747 -15.510 8.882
In Ho Sc
12 3 1
direct
0.500 0.500 0.248 In
0.500 0.000 0.121 In
0.500 0.000 0.879 In
0.500 0.000 0.374 In
0.500 0.000 0.626 In
0.000 0.500 0.121 In
0.000 0.500 0.374 In
0.500 0.500 0.752 In
0.000 0.500 0.626 In
0.500 0.500 0.000 In
0.500 0.500 0.500 In
0.000 0.500 0.879 In
0.000 0.000 0.247 Ho
0.000 0.000 0.753 Ho
0.000 0.000 0.500 Ho
0.000 0.000 0.000 Sc
```

Calculated formation energy in eV per atom: -0.37